First-principles (PBE) data for ZrTc3Pt after structural relaxation, as listed in the Alexandria database.

Cell: 4.6714 4.6714 4.6714 Å, 90.00 90.00 90.00°
Atoms (fractional coordinates):
Zr  0.0000  0.0000  0.0000
Tc  0.0000  0.0000  0.5000
Tc  0.0000  0.5000  0.0000
Tc  0.5000  0.0000  0.0000
Pt  0.5000  0.5000  0.5000

The space group is Pm-3m, No. 221. Its offset from the most stable computed form is 0.507 eV/atom. The value obtained for the energy of formation from the pure elements is 1.994 eV per atom. The value obtained for the uncorrected energy is -7.14 eV/atom. The calculation puts the density of states at the Fermi level at 5.49 states/eV/cell.